[1]
A geometry-optimized TiIn3Co structure. Source: Alexandria via LeMat-Bulk, functional PBE-GGA.

POSCAR file:
```
TiIn3Co
1.0
-3.518 3.258 -0.463
-2.425 -3.025 -2.859
-2.224 -1.855 3.850
In Ti Co
3 1 1
Cartesian
-1.112 -0.927 1.925
-1.213 -1.513 -1.429
-1.759 1.629 -0.232
-4.084 -0.811 0.264
0.000 0.000 0.000
```

Volume: 22.36 A^3/atom
Space-group type: Pm-3m


[2]
A geometry-optimized ThScZn4 structure. Source: Alexandria via LeMat-Bulk, functional PBE-GGA.

POSCAR file:
```
ThScZn4
1.0
5.430 0.000 0.000
2.715 4.702 0.000
2.715 1.567 4.433
Zn Th Sc
4 1 1
Cartesian
5.430 3.135 0.535
5.430 1.550 2.777
6.803 3.928 2.777
4.057 3.928 2.777
2.715 1.567 1.108
0.000 0.000 0.000
```

Polymorph energy (0 for the lowest one): 0.0 kJ/mol of formula units
Volume: 18.87 A^3/atom
Space-group type: F-43m


[3]
A geometry-optimized YHgW structure. Source: Alexandria via LeMat-Bulk, functional PBE-GGA.

POSCAR file:
```
YHgW
1.0
5.800 0.000 0.000
3.635 4.520 0.000
-4.718 -2.260 2.506
Y W Hg
1 1 1
Cartesian
6.340 3.037 0.000
3.284 1.573 0.000
9.247 4.430 0.000
```

Polymorph energy (0 for the lowest one): 30.8 kJ/mol of formula units
Volume: 21.89 A^3/atom
Space-group type: I4mm


[4]
A geometry-optimized TbInPb2 structure. Source: Alexandria via LeMat-Bulk, functional PBE-GGA.

POSCAR file:
```
TbInPb2
1.0
4.776 0.000 0.000
2.388 4.137 0.000
2.388 1.379 6.423
Pb Tb In
2 1 1
Cartesian
2.388 1.379 4.853
2.388 1.379 1.557
7.165 4.137 6.358
4.776 2.758 3.289
```

Volume: 31.73 A^3/atom
Space-group type: R3m


[5]
A geometry-optimized K2CoAgSb structure. Source: Alexandria via LeMat-Bulk, functional PBE-GGA.

POSCAR file:
```
K2CoAgSb
1.0
6.167 0.000 0.000
0.000 4.834 0.000
0.000 0.000 6.167
Co Sb K Ag
1 1 2 1
Cartesian
0.000 2.417 0.000
3.083 2.417 3.083
0.000 0.000 3.083
3.083 0.000 0.000
0.000 0.000 0.000
```

Volume: 36.77 A^3/atom
Uncorrected formation energy: 0.698 eV per atom
Space-group type: P4/mmm


[6]
A geometry-optimized FeAgAs2 structure. Source: Alexandria via LeMat-Bulk, functional PBE-GGA.

POSCAR file:
```
FeAgAs2
1.0
-3.355 -1.442 2.827
0.925 -3.115 3.282
0.022 1.263 4.443
Ag As Fe
1 2 1
Cartesian
-1.204 -1.648 5.276
-1.806 -2.471 7.913
0.000 0.000 0.000
-0.602 -0.824 2.638
```

Polymorph energy (0 for the lowest one): 184.7 kJ/mol of formula units
Volume: 17.42 A^3/atom
Space-group type: F-43m


[7]
A geometry-optimized LiHgSe structure. Source: Alexandria via LeMat-Bulk, functional PBE-GGA.

POSCAR file:
```
LiHgSe
1.0
6.871 -0.039 0.000
5.440 4.196 0.000
-6.156 -2.079 2.235
Hg Se Li
1 1 1
Cartesian
12.193 4.118 0.000
8.614 2.909 0.000
3.814 1.288 0.000
```

Polymorph energy (0 for the lowest one): 28.1 kJ/mol of formula units
Volume: 21.64 A^3/atom
Uncorrected formation energy: -0.391 eV per atom
Space-group type: I4mm


[8]
A geometry-optimized SrLiMnFe2 structure. Source: Alexandria via LeMat-Bulk, functional PBE-GGA.

POSCAR file:
```
SrLiMnFe2
1.0
5.025 0.000 0.000
0.000 4.748 0.000
0.000 0.000 5.025
Li Sr Fe Mn
1 1 2 1
Cartesian
2.512 2.374 2.512
0.000 0.000 0.000
2.512 0.000 0.000
0.000 0.000 2.512
0.000 2.374 0.000
```

Volume: 23.98 A^3/atom
Space-group type: P4/mmm


[9]
A geometry-optimized B3OsC structure. Source: Alexandria via LeMat-Bulk, functional PBE-GGA.

POSCAR file:
```
B3OsC
1.0
4.083 0.000 0.000
0.000 4.083 0.000
0.000 0.000 4.083
C B Os
1 3 1
Cartesian
2.042 2.042 2.042
0.000 2.042 0.000
2.042 0.000 0.000
0.000 0.000 2.042
0.000 0.000 0.000
```

Polymorph energy (0 for the lowest one): 284.8 kJ/mol of formula units
Volume: 13.62 A^3/atom
Space-group type: Pm-3m


[10]
A geometry-optimized AcLaSm4Dy2 structure. Source: Alexandria via LeMat-Bulk, functional PBE-GGA.

POSCAR file:
```
AcLaSm4Dy2
1.0
-6.942 7.325 2.322
-7.243 -5.147 -5.440
9.220 -7.372 4.676
Sm Dy Ac La
8 4 2 2
Cartesian
-7.219 -2.038 -3.456
1.131 -3.138 1.565
-2.395 0.581 2.744
5.671 -6.768 3.867
2.254 -3.157 5.013
-6.096 -2.056 -0.007
-2.568 -5.775 -1.188
-10.634 1.575 -2.310
1.139 -0.024 3.499
-3.471 3.663 1.161
4.610 -3.686 2.338
2.129 -6.283 3.116
-3.622 -2.573 -2.720
-5.953 1.066 1.939
-4.963 -5.194 1.557
-2.482 -2.597 0.779
```

Volume: 35.01 A^3/atom
Space-group type: P-1


[11]
A geometry-optimized Cr2MoAs structure. Source: Alexandria via LeMat-Bulk, functional PBE-GGA.

POSCAR file:
```
Cr2MoAs
1.0
4.198 0.000 0.000
0.000 2.816 -0.003
0.000 1.228 4.626
Cr Mo As
2 1 1
Cartesian
2.099 0.928 1.021
0.000 2.608 0.084
0.000 1.876 2.316
2.099 3.469 3.510
```

Volume: 13.67 A^3/atom
Space-group type: Pm


[12]
A geometry-optimized Mg2Si structure. Source: Alexandria via LeMat-Bulk, functional PBE-GGA.

POSCAR file:
```
Mg2Si
1.0
-0.495 -2.453 3.373
3.533 -5.148 -3.225
6.893 2.814 3.058
Si Mg
4 8
Cartesian
8.294 -3.223 2.795
1.636 -1.563 0.411
4.813 -1.349 3.647
5.118 -3.437 -0.441
7.370 -1.051 4.239
3.597 -3.309 2.044
3.394 -0.100 1.733
6.333 -1.477 1.162
5.745 1.578 3.298
6.536 -4.686 1.473
4.185 -6.364 -0.092
2.561 -3.735 -1.033
```

Volume: 19.80 A^3/atom
Uncorrected formation energy: -0.101 eV per atom
Space-group type: Pnma


[13]
A geometry-optimized AlIrPd2 structure. Source: Alexandria via LeMat-Bulk, functional PBE-GGA.

POSCAR file:
```
AlIrPd2
1.0
3.994 0.000 0.000
0.000 3.833 0.000
0.000 0.000 3.833
Al Pd Ir
1 2 1
Cartesian
1.997 0.000 0.000
0.000 1.916 0.000
0.000 0.000 1.916
1.997 1.916 1.916
```

Volume: 14.67 A^3/atom
Space-group type: P4/mmm


What calculated total energy values result from the calculations? In sequence: -4.187, -3.407, -6.028, -3.772, -2.557, -4.626, -2.291, -3.643, -5.865, -4.605, -8.542, -2.971, -6.165 eV/atom.
What total magnetic moment values result from the calculations? In sequence: 0.00, 0.00, 0.00, 0.00, 2.41, 2.88, 0.00, 4.86, 1.30, 0.00, 0.00, 0.00, 0.00 μB/cell.
What N(E_F) values result from the calculations? In sequence: 7.0, 4.3, 3.5, 1.9, 5.1, 2.8, 0.5, 8.8, 4.2, 13.0, 3.1, 0.6, 3.6 states/eV/f.u..